Entry 1:
{"formula": "Sr2Cu3Sb4Pt", "functional": "GGA-PBE", "state": "optimized geometry", "lattice": [[4.651, 0.000, 0.000], [0.000, 4.651, 0.000], [0.000, 0.000, 10.712]], "species": ["Sr", "Sr", "Cu", "Cu", "Cu", "Sb", "Sb", "Sb", "Sb", "Pt"], "fractional_positions": [[0.000, 0.500, 0.239], [0.500, 0.000, 0.761], [0.000, 0.000, 0.000], [0.000, 0.500, 0.630], [0.500, 0.000, 0.370], [0.000, 0.000, 0.500], [0.000, 0.500, 0.871], [0.500, 0.000, 0.129], [0.500, 0.500, 0.500], [0.500, 0.500, 0.000]], "mass_density_g_cm3": 7.5, "e_form_raw_kj_per_mol_atoms": -48.4, "magmom_total_mub_per_fu": 0.00}

---

Entry 2:
{"formula": "Cs6I", "functional": "GGA-PBE", "state": "optimized geometry", "lattice": [[-6.781, 6.781, 6.781], [6.781, -6.781, 6.781], [6.781, 6.781, -6.781]], "species": ["Cs", "Cs", "Cs", "Cs", "Cs", "Cs", "I"], "fractional_positions": [[0.250, 0.500, 0.750], [0.250, 0.750, 0.500], [0.500, 0.250, 0.750], [0.500, 0.750, 0.250], [0.750, 0.250, 0.500], [0.750, 0.500, 0.250], [0.000, 0.000, 0.000]], "mass_density_g_cm3": 1.2, "e_form_raw_kj_per_mol_atoms": 8.5, "magmom_total_mub_per_fu": 0.00}

---

Entry 3:
{"formula": "Sr2BeCl", "functional": "GGA-PBE", "state": "optimized geometry", "lattice": [[-1.926, 1.984, 8.167], [1.926, -1.984, 8.167], [1.926, 1.984, -8.167]], "species": ["Sr", "Sr", "Be", "Cl"], "fractional_positions": [[0.000, 0.000, 0.000], [0.770, 0.270, 0.500], [0.414, 0.414, 0.000], [0.169, 0.669, 0.500]], "mass_density_g_cm3": 2.9, "e_form_raw_kj_per_mol_atoms": -46.6, "de_polymorph_mev_per_atom": 97, "magmom_total_mub_per_fu": 0.00}